Here is a geometry-optimized AgTeRh2 structure from the Alexandria database. Energies are from PBE-GGA.

The structure in POSCAR format:
```
AgTeRh2
1.0
-1.6134 2.2412 4.8407
1.6134 -2.2412 4.8407
1.6134 2.2412 -4.8407
Ag Te Rh
1 1 2
Cartesian
0.0000 0.0000 0.0000
1.6134 0.0000 2.5285
0.0000 0.0000 4.5411
0.0000 2.2412 2.1841
```

Values from the calculation:
**Space-group type**: No. 44
**VASP energy**: -5.0350 eV/atom

***

Here is a geometry-optimized La4PdAuI2 structure from the Alexandria database. Energies are from PBE-GGA.

The structure in POSCAR format:
```
La4PdAuI2
1.0
7.5008 0.0000 0.0000
0.0000 4.4330 0.0000
-2.5101 0.0000 8.0913
La Pd Au I
4 1 1 2
Cartesian
1.2418 0.0000 1.6222
-0.1032 2.2165 6.4666
5.0939 2.2165 1.6247
3.7490 0.0000 6.4691
0.0000 2.2165 0.0000
3.7504 0.0000 0.0000
-1.2550 0.0000 4.0456
2.4954 2.2165 4.0456
```

Values from the calculation:
**Space-group type**: No. 10
**VASP energy**: -4.8341 eV/atom

***

Here is a geometry-optimized SiSO2 structure from the Alexandria database. Energies are from PBE-GGA.

The structure in POSCAR format:
```
SiSO2
1.0
1.3217 0.7631 8.4136
-1.3217 0.7631 8.4136
0.0000 -1.5261 8.4136
Si S O
1 1 2
Cartesian
0.0000 0.0000 0.0000
0.0000 0.0000 12.6204
0.0000 0.0000 9.3387
0.0000 0.0000 15.9021
```

Values from the calculation:
**Space-group type**: No. 166
**Offset from the most stable computed form**: 0 meV per atom
**VASP energy**: -6.4139 eV/atom

***

Here is a geometry-optimized Pm7Nd6Dy16 structure from the Alexandria database. Energies are from PBE-GGA.

The structure in POSCAR format:
```
Pm7Nd6Dy16
1.0
0.0000 7.9650 7.9650
7.9650 0.0000 7.9650
7.9650 7.9650 0.0000
Pm Nd Dy
7 6 16
Cartesian
0.0000 0.0000 0.0000
3.9825 3.9825 0.0000
3.9825 0.0000 3.9825
7.9650 3.9825 3.9825
0.0000 3.9825 3.9825
3.9825 7.9650 3.9825
3.9825 3.9825 7.9650
7.9650 7.9650 4.2324
7.9650 4.2324 7.9650
11.6977 7.9650 7.9650
4.2324 7.9650 7.9650
7.9650 11.6977 7.9650
7.9650 7.9650 11.6977
10.3670 5.5630 5.5630
2.0521 2.0521 2.0521
5.9129 5.9129 2.0521
5.9129 2.0521 5.9129
5.5630 5.5630 5.5630
10.3670 10.3670 5.5630
10.3670 5.5630 10.3670
13.8779 10.0172 10.0172
2.0521 5.9129 5.9129
5.5630 10.3670 5.5630
5.5630 5.5630 10.3670
10.3670 10.3670 10.3670
10.0172 13.8779 10.0172
10.0172 10.0172 13.8779
13.8779 13.8779 13.8779
5.5630 10.3670 10.3670
```

Values from the calculation:
**Space-group type**: No. 225
**Formation energy from the elements**: 0.23 eV per atom
**VASP energy**: -4.4387 eV/atom

***

Here is a geometry-optimized LiPa2Pt9 structure from the Alexandria database. Energies are from PBE-GGA.

The structure in POSCAR format:
```
LiPa2Pt9
1.0
4.1471 0.0000 0.0000
0.0000 4.1471 0.0000
0.0000 0.0000 11.9215
Li Pa Pt
1 2 9
Cartesian
0.0000 0.0000 0.0000
0.0000 0.0000 3.7908
0.0000 0.0000 8.1307
0.0000 2.0735 1.8606
0.0000 2.0735 5.9608
0.0000 2.0735 10.0609
2.0735 0.0000 1.8606
2.0735 0.0000 5.9608
2.0735 0.0000 10.0609
2.0735 2.0735 0.0000
2.0735 2.0735 3.9316
2.0735 2.0735 7.9899
```

Values from the calculation:
**Space-group type**: No. 123
**Formation energy from the elements**: -0.87 eV per atom
**VASP energy**: -7.1436 eV/atom

***

Here is a geometry-optimized Pa2ZnGe2Ru5 structure from the Alexandria database. Energies are from PBE-GGA.

The structure in POSCAR format:
```
Pa2ZnGe2Ru5
1.0
9.7602 0.0000 0.0000
0.0000 9.7602 0.0000
0.0000 0.0000 3.5679
Pa Zn Ge Ru
4 2 4 10
Cartesian
1.7177 3.1624 0.0000
3.1624 8.0426 0.0000
6.5978 1.7177 0.0000
8.0426 6.5978 0.0000
0.0000 0.0000 0.0000
4.8801 4.8801 0.0000
1.2110 6.0911 0.0000
3.6691 1.2110 0.0000
6.0911 8.5492 0.0000
8.5492 3.6691 0.0000
0.0000 4.8801 1.7839
0.8071 7.7862 1.7839
1.9741 0.8071 1.7839
2.9060 5.6873 1.7839
4.0730 2.9060 1.7839
4.8801 0.0000 1.7839
5.6873 6.8542 1.7839
6.8542 4.0730 1.7839
7.7862 8.9531 1.7839
8.9531 1.9741 1.7839
```

Values from the calculation:
**Space-group type**: No. 127
**Formation energy from the elements**: -0.38 eV per atom
**VASP energy**: -7.9634 eV/atom

***

Here is a geometry-optimized Ta2ZnP structure from the Alexandria database. Energies are from PBE-GGA.

The structure in POSCAR format:
```
Ta2ZnP
1.0
-1.8988 1.8988 4.3704
1.8988 -1.8988 4.3704
1.8988 1.8988 -4.3704
Ta Zn P
2 1 1
Cartesian
0.0000 0.0000 0.0000
0.0000 1.8988 2.1852
1.8988 0.0000 2.1852
0.0000 0.0000 4.3704
```

Values from the calculation:
**Space-group type**: No. 119
**Formation energy from the elements**: 0.00 eV per atom
**VASP energy**: -7.6007 eV/atom

***

Here is a geometry-optimized Sr2In4Ga3Ag structure from the Alexandria database. Energies are from PBE-GGA.

The structure in POSCAR format:
```
Sr2In4Ga3Ag
1.0
4.6692 0.0000 0.0000
0.0000 4.6692 0.0000
0.0000 0.0000 11.7827
Sr In Ga Ag
2 4 3 1
Cartesian
0.0000 2.3346 2.9267
2.3346 0.0000 8.8560
0.0000 0.0000 5.8913
0.0000 2.3346 10.2153
2.3346 0.0000 1.5674
2.3346 2.3346 5.8913
0.0000 0.0000 0.0000
0.0000 2.3346 7.5305
2.3346 0.0000 4.2522
2.3346 2.3346 0.0000
```

Values from the calculation:
**Space-group type**: No. 115
**Formation energy from the elements**: -0.32 eV per atom
**VASP energy**: -2.9416 eV/atom

***

Here is a geometry-optimized ZnCrPt2 structure from the Alexandria database. Energies are from PBE-GGA.

The structure in POSCAR format:
```
ZnCrPt2
1.0
-1.9107 1.9107 4.0445
1.9107 -1.9107 4.0445
1.9107 1.9107 -4.0445
Zn Cr Pt
1 1 2
Cartesian
0.0000 0.0000 0.0000
1.9107 0.0000 2.0223
0.0000 0.0000 4.0445
0.0000 1.9107 2.0223
```

Values from the calculation:
**Space-group type**: No. 119
**Formation energy from the elements**: -0.29 eV per atom
**VASP energy**: -6.0354 eV/atom

***

Here is a geometry-optimized Nd2TlGa3Pt4 structure from the Alexandria database. Energies are from PBE-GGA.

The structure in POSCAR format:
```
Nd2TlGa3Pt4
1.0
4.1694 0.0000 0.0000
0.0000 4.1694 0.0000
0.0000 0.0000 11.6863
Nd Tl Ga Pt
2 1 3 4
Cartesian
0.0000 2.0847 2.8117
2.0847 0.0000 8.8746
0.0000 0.0000 5.8432
0.0000 2.0847 10.2200
2.0847 0.0000 1.4663
2.0847 2.0847 5.8432
0.0000 0.0000 0.0000
0.0000 2.0847 7.7472
2.0847 0.0000 3.9391
2.0847 2.0847 0.0000
```

Values from the calculation:
**Space-group type**: No. 115
**Formation energy from the elements**: -0.83 eV per atom
**VASP energy**: -5.3400 eV/atom

***

Here is a geometry-optimized Pr2NdSm2 structure from the Alexandria database. Energies are from PBE-GGA.

The structure in POSCAR format:
```
Pr2NdSm2
1.0
4.3695 -6.7776 0.0000
4.3695 6.7776 0.0000
-2.1564 0.0000 6.1173
Pr Nd Sm
4 2 4
Cartesian
0.6365 0.8190 2.5776
-0.4417 -0.8190 5.6362
7.0244 0.8190 0.4811
5.9462 -0.8190 3.5398
3.8305 0.9766 1.5293
2.7523 -0.9766 4.5880
3.8305 4.3193 1.5293
2.7523 2.6910 4.5880
3.8305 -2.6910 1.5293
2.7523 -4.3193 4.5880
```

Values from the calculation:
**Space-group type**: No. 15
**Formation energy from the elements**: 0.24 eV per atom
**Offset from the most stable computed form**: 210 meV per atom
**VASP energy**: -4.5116 eV/atom

***

Here is a geometry-optimized DyBi2Pb structure from the Alexandria database. Energies are from PBE-GGA.

The structure in POSCAR format:
```
DyBi2Pb
1.0
2.3657 1.3658 7.2179
-2.3657 1.3658 7.2179
0.0000 -2.7316 7.2179
Dy Bi Pb
1 2 1
Cartesian
0.0000 0.0000 0.0000
0.0000 0.0000 8.8644
0.0000 0.0000 12.8135
0.0000 0.0000 3.6978
```

Values from the calculation:
**Space-group type**: No. 160
**Formation energy from the elements**: -0.26 eV per atom
**Offset from the most stable computed form**: 90 meV per atom
**VASP energy**: -4.2786 eV/atom

***

Here is a geometry-optimized AcPmRh2 structure from the Alexandria database. Energies are from PBE-GGA.

The structure in POSCAR format:
```
AcPmRh2
1.0
2.0641 1.1917 7.0685
-2.0641 1.1917 7.0685
0.0000 -2.3834 7.0685
Ac Pm Rh
1 1 2
Cartesian
0.0000 0.0000 0.0000
0.0000 0.0000 17.5478
0.0000 0.0000 8.8973
0.0000 0.0000 12.1573
```

Values from the calculation:
**Space-group type**: No. 160
**Formation energy from the elements**: -0.50 eV per atom
**Offset from the most stable computed form**: 175 meV per atom
**VASP energy**: -6.3952 eV/atom